First-principles (PBE) data for crystalline AcAlH at its relaxed geometry, as listed in Alexandria.

Cell: 3.497 7.782 10.262 Å, 90.00 90.00 90.00°
Space group Immm (No. 71)
Asymmetric unit:
Ac1 0.000 0.233 0.000 (multiplicity 4)
Al1 0.000 0.500 0.243 (multiplicity 4)
H1 0.000 0.500 0.413 (multiplicity 4)

Results
M_tot: 0.00 μB per formula unit
Total DFT energy (no corrections): -43.2 eV/cell
Crystal system: orthorhombic
Fermi-level density of states: 9.38 states/eV/cell